Compound: PmTlPd4
Source: OQMD via LeMat-Bulk
Functional: PBE
Structure: optimized geometry

extended XYZ file:
```
6
Lattice="4.143 2.472 2.503 -0.973 3.884 3.675 0.946 -0.945 5.268" Properties=species:S:1:pos:R:3 pbc="T T T"
Pd 1.055 3.973 6.131
Pd 1.542 2.027 4.289
Pd 3.619 3.266 5.543
Pd 2.016 1.553 6.929
Tl 0.000 0.000 0.000
Pm 3.087 4.057 8.585
```

The space-group type is F-43m. As for the raw total energy: -5.2370 eV/atom. As for the total magnetic moment: 0.000 μB per atom.

=====

Compound: PmTmPd
Source: OQMD via LeMat-Bulk
Functional: PBE
Structure: optimized geometry

extended XYZ file:
```
3
Lattice="0.000 3.466 3.466 3.466 0.000 3.466 3.466 3.466 0.000" Properties=species:S:1:pos:R:3 pbc="T T T"
Pd 0.000 0.000 0.000
Pm 1.733 1.733 1.733
Tm 5.198 5.198 5.198
```

For the calculated formation energy, the calculation gives -457 meV per atom. The space-group type is F-43m. As for the raw total energy: -5.2555 eV/atom. As for the total magnetic moment: 0.000 μB per atom.

=====

Compound: PmUPd
Source: OQMD via LeMat-Bulk
Functional: PBE
Structure: optimized geometry

extended XYZ file:
```
3
Lattice="-0.921 -2.643 3.948 -0.537 2.169 4.293 -4.365 0.200 2.081" Properties=species:S:1:pos:R:3 pbc="T T T"
Pm -1.456 -0.068 2.581
U -4.367 -0.205 7.742
Pd 0.000 0.000 0.000
```

For the calculated formation energy, the calculation gives 219 meV per atom. The space-group type is F-43m. As for the raw total energy: -6.8531 eV/atom. As for the total magnetic moment: 1.371 μB per atom.

=====

Compound: PmYPd6
Source: OQMD via LeMat-Bulk
Functional: PBE
Structure: optimized geometry

extended XYZ file:
```
8
Lattice="4.150 0.000 0.000 0.000 4.150 0.000 0.000 0.000 8.282" Properties=species:S:1:pos:R:3 pbc="T T T"
Pd 2.075 0.000 2.040
Pd 2.075 0.000 6.242
Pd 0.000 2.075 2.040
Pd 2.075 2.075 0.000
Pd 0.000 2.075 6.242
Pd 2.075 2.075 4.141
Y 0.000 0.000 0.000
Pm 0.000 0.000 4.141
```

For the calculated formation energy, the calculation gives -837 meV per atom. The space-group type is P4/mmm. As for the raw total energy: -6.1198 eV/atom. As for the total magnetic moment: 0.000 μB per atom.

=====

Compound: PmZnPd
Source: OQMD via LeMat-Bulk
Functional: PBE
Structure: optimized geometry

extended XYZ file:
```
6
Lattice="-2.997 1.799 -4.332 -5.250 1.785 -0.484 5.242 3.610 3.083" Properties=species:S:1:pos:R:3 pbc="T T T"
Pd -2.716 5.841 -1.569
Pd -0.289 1.354 -0.164
Pm -2.677 2.323 -1.559
Pm -0.328 4.872 -0.174
Zn 1.759 2.758 1.041
Zn -4.764 4.437 -2.774
```

For the calculated formation energy, the calculation gives -678 meV per atom. The space-group type is C2/m. As for the raw total energy: -4.4059 eV/atom. As for the total magnetic moment: 0.002 μB per atom.

=====

Compound: PmZnPd
Source: OQMD via LeMat-Bulk
Functional: PBE
Structure: optimized geometry

extended XYZ file:
```
3
Lattice="0.000 3.297 3.297 3.297 0.000 3.297 3.297 3.297 0.000" Properties=species:S:1:pos:R:3 pbc="T T T"
Pd 0.000 0.000 0.000
Pm 1.648 1.648 1.648
Zn 4.945 4.945 4.945
```

For the calculated formation energy, the calculation gives -524 meV per atom. The space-group type is F-43m. As for the raw total energy: -4.2521 eV/atom. As for the total magnetic moment: 0.002 μB per atom.

=====

Compound: Pm2Zn3Pd4
Source: OQMD via LeMat-Bulk
Functional: PBE
Structure: optimized geometry

extended XYZ file:
```
18
Lattice="2.822 -7.758 0.000 2.822 7.758 0.000 0.000 0.000 7.660" Properties=species:S:1:pos:R:3 pbc="T T T"
Zn 1.411 -3.527 5.745
Zn 1.411 3.527 1.915
Zn 0.000 0.000 0.000
Zn 2.822 0.000 3.830
Zn 4.233 3.527 1.915
Zn 4.233 -3.527 5.745
Pm 2.822 -1.773 0.607
Pm 2.822 5.986 3.223
Pm 2.822 -5.986 4.437
Pm 2.822 1.773 7.053
Pd 2.822 2.750 4.001
Pd 1.411 0.919 1.915
Pd 1.411 -0.919 5.745
Pd 4.233 -0.919 5.745
Pd 2.822 -2.750 3.660
Pd 4.233 0.919 1.915
Pd 2.822 5.008 0.171
Pd 2.822 -5.008 7.490
```

For the calculated formation energy, the calculation gives -715 meV per atom. The space-group type is Cmce. As for the raw total energy: -4.4909 eV/atom. As for the total magnetic moment: 0.000 μB per atom.

=====

Compound: PmZnPd
Source: OQMD via LeMat-Bulk
Functional: PBE
Structure: optimized geometry

extended XYZ file:
```
3
Lattice="3.014 -1.986 -3.144 2.913 -3.537 1.383 -0.756 -4.466 -1.547" Properties=species:S:1:pos:R:3 pbc="T T T"
Pm 0.000 0.000 0.000
Pd 1.293 -2.498 -0.827
Zn 3.878 -7.493 -2.481
```

For the calculated formation energy, the calculation gives -70 meV per atom. The space-group type is F-43m. As for the raw total energy: -3.7986 eV/atom. As for the total magnetic moment: 0.002 μB per atom.

=====

Compound: PmZrPd
Source: OQMD via LeMat-Bulk
Functional: PBE
Structure: optimized geometry

extended XYZ file:
```
3
Lattice="0.000 3.392 3.392 3.392 0.000 3.392 3.392 3.392 0.000" Properties=species:S:1:pos:R:3 pbc="T T T"
Pm 1.696 1.696 1.696
Zr 5.089 5.089 5.089
Pd 0.000 0.000 0.000
```

For the calculated formation energy, the calculation gives -118 meV per atom. The space-group type is F-43m. As for the raw total energy: -6.2737 eV/atom. As for the total magnetic moment: 0.001 μB per atom.

=====

Compound: Pr2Pd
Source: OQMD via LeMat-Bulk
Functional: PBE
Structure: optimized geometry

extended XYZ file:
```
3
Lattice="0.000 3.580 3.580 3.580 0.000 3.580 3.580 3.580 0.000" Properties=species:S:1:pos:R:3 pbc="T T T"
Pr 5.369 5.369 5.369
Pr 1.790 1.790 1.790
Pd 0.000 0.000 0.000
```

For the calculated formation energy, the calculation gives -350 meV per atom. The space-group type is Fm-3m. As for the raw total energy: -5.2586 eV/atom. As for the total magnetic moment: 0.099 μB per atom.

=====

Compound: Pr5Pd
Source: OQMD via LeMat-Bulk
Functional: PBE
Structure: optimized geometry

extended XYZ file:
```
6
Lattice="0.000 4.604 4.604 4.604 0.000 4.604 4.604 4.604 0.000" Properties=species:S:1:pos:R:3 pbc="T T T"
Pr 3.442 3.442 3.442
Pr 6.906 6.906 6.906
Pr 3.442 5.765 5.765
Pr 5.765 3.442 5.765
Pr 5.765 5.765 3.442
Pd 0.000 0.000 0.000
```

For the calculated formation energy, the calculation gives 370 meV per atom. The space-group type is F-43m. As for the raw total energy: -4.4718 eV/atom. As for the total magnetic moment: 0.123 μB per atom.

=====

Compound: Pr2Pd
Source: OQMD via LeMat-Bulk
Functional: PBE
Structure: optimized geometry

extended XYZ file:
```
6
Lattice="4.451 2.570 7.268 -4.451 2.570 7.268 0.000 -5.140 7.268" Properties=species:S:1:pos:R:3 pbc="T T T"
Pr -2.226 1.285 11.811
Pr 2.226 1.285 11.811
Pr 0.000 0.000 8.177
Pr 0.000 -2.570 11.811
Pd 0.000 0.000 10.903
Pd 0.000 0.000 5.451
```

For the calculated formation energy, the calculation gives 931 meV per atom. The space-group type is Fd-3m. As for the raw total energy: -3.9775 eV/atom. As for the total magnetic moment: 0.193 μB per atom.

=====

Compound: Pr2Pd
Source: OQMD via LeMat-Bulk
Functional: PBE
Structure: optimized geometry

extended XYZ file:
```
6
Lattice="0.000 4.399 4.399 4.399 0.000 4.399 4.399 4.399 0.000" Properties=species:S:1:pos:R:3 pbc="T T T"
Pr 5.499 3.299 3.299
Pr 3.299 5.499 3.299
Pr 5.499 5.499 5.499
Pr 3.299 3.299 5.499
Pd 0.000 0.000 0.000
Pd 2.199 2.199 2.199
```

For the calculated formation energy, the calculation gives 438 meV per atom. The space-group type is Fd-3m. As for the raw total energy: -4.4701 eV/atom. As for the total magnetic moment: 0.019 μB per atom.

=====

Compound: PrPd3
Source: OQMD via LeMat-Bulk
Functional: PBE
Structure: optimized geometry

extended XYZ file:
```
4
Lattice="4.209 0.000 0.000 0.000 4.209 0.000 0.000 0.000 4.207" Properties=species:S:1:pos:R:3 pbc="T T T"
Pd 0.000 2.105 2.104
Pd 0.000 0.000 0.000
Pd 2.105 0.000 2.104
Pr 2.105 2.105 0.000
```

For the calculated formation energy, the calculation gives -762 meV per atom. The space-group type is Pm-3m. As for the raw total energy: -5.8374 eV/atom. As for the total magnetic moment: 0.001 μB per atom.

=====

Compound: PrPd6
Source: OQMD via LeMat-Bulk
Functional: PBE
Structure: optimized geometry

extended XYZ file:
```
14
Lattice="4.035 -3.588 0.000 4.035 3.588 0.000 -1.340 0.000 8.494" Properties=species:S:1:pos:R:3 pbc="T T T"
Pd 6.653 -0.122 3.116
Pd 4.767 -0.655 4.962
Pd 0.748 -0.122 1.132
Pd 1.294 -0.655 7.779
Pd 2.171 -1.662 5.264
Pd 5.983 0.122 7.363
Pd 4.560 1.662 3.230
Pd 1.964 0.655 3.532
Pd 3.890 -1.662 7.477
Pd 5.437 0.655 0.715
Pd 0.078 0.122 5.379
Pd 2.841 1.662 1.017
Pr 3.030 1.220 6.371
Pr 3.700 -1.220 2.124
```

For the calculated formation energy, the calculation gives -434 meV per atom. The space-group type is C2/c. As for the raw total energy: -5.5525 eV/atom. As for the total magnetic moment: 0.000 μB per atom.

=====

Compound: Pr3Si4Pd2Pt2
Source: OQMD via LeMat-Bulk
Functional: PBE
Structure: optimized geometry

extended XYZ file:
```
11
Lattice="10.304 -3.180 6.730 5.792 -4.280 10.475 -8.185 0.952 -9.679" Properties=species:S:1:pos:R:3 pbc="T T T"
Pd 6.482 -3.004 6.929
Pd 9.614 -4.456 10.276
Pr 13.739 -6.368 14.685
Pr 2.357 -1.093 2.520
Pr 1.060 -1.114 -1.474
Pt 5.050 -2.964 2.791
Pt 2.861 -3.545 4.735
Si -0.414 -2.027 1.234
Si 11.205 -5.193 11.977
Si 4.891 -2.267 5.228
Si 8.325 -4.482 6.292
```

The space-group type is Immm. As for the raw total energy: -6.3048 eV/atom. As for the total magnetic moment: 0.004 μB per atom.

=====

Compound: Pr2Sn2PdPt3
Source: OQMD via LeMat-Bulk
Functional: PBE
Structure: optimized geometry

extended XYZ file:
```
8
Lattice="4.644 0.000 0.000 -2.322 4.022 0.000 0.000 0.000 9.385" Properties=species:S:1:pos:R:3 pbc="T T T"
Sn 0.000 0.000 4.696
Sn 0.000 0.000 0.033
Pt 0.000 2.681 5.513
Pt 2.322 1.341 3.893
Pt 2.322 1.341 0.753
Pr 2.322 1.341 7.011
Pr 0.000 2.681 2.353
Pd 0.000 2.681 8.596
```

The space-group type is P3m1. As for the raw total energy: -6.0207 eV/atom. As for the total magnetic moment: 0.001 μB per atom.

=====

Compound: PrSnPdPt
Source: OQMD via LeMat-Bulk
Functional: PBE
Structure: optimized geometry

extended XYZ file:
```
8
Lattice="4.647 0.000 0.000 -2.324 4.025 0.000 0.000 0.000 9.343" Properties=species:S:1:pos:R:3 pbc="T T T"
Pr 0.000 0.000 4.672
Pr 0.000 2.683 0.000
Pt 0.000 2.683 6.246
Pt 0.000 2.683 3.097
Sn 2.324 1.342 6.994
Sn 2.324 1.342 2.349
Pd 0.000 0.000 7.804
Pd 0.000 0.000 1.539
```

The space-group type is P-6m2. As for the raw total energy: -5.8872 eV/atom. As for the total magnetic moment: 0.001 μB per atom.

=====

Compound: PrSnPdPt
Source: OQMD via LeMat-Bulk
Functional: PBE
Structure: optimized geometry

extended XYZ file:
```
8
Lattice="4.643 0.000 0.000 -2.322 4.021 0.000 0.000 0.000 9.354" Properties=species:S:1:pos:R:3 pbc="T T T"
Sn 0.000 0.000 4.705
Sn 0.000 0.000 0.027
Pd 0.000 2.681 8.563
Pd 2.322 1.340 3.886
Pt 0.000 2.681 5.454
Pt 2.322 1.340 0.777
Pr 0.000 2.681 2.326
Pr 2.322 1.340 7.003
```

The space-group type is P6_3mc. As for the raw total energy: -5.8947 eV/atom. As for the total magnetic moment: 0.000 μB per atom.

=====

Compound: PrSnPdPt
Source: OQMD via LeMat-Bulk
Functional: PBE
Structure: optimized geometry

extended XYZ file:
```
8
Lattice="-1.663 4.043 1.567 -2.449 -3.902 0.585 4.245 -1.434 8.204" Properties=species:S:1:pos:R:3 pbc="T T T"
Pd -0.144 0.793 4.682
Pd 0.277 -2.086 5.674
Sn 0.000 0.000 0.000
Sn 2.123 -0.717 4.102
Pr -1.139 -1.608 2.938
Pr 1.272 0.315 7.418
Pt -1.554 1.269 1.958
Pt 1.687 -2.562 8.399
```

The space-group type is P-3m1. As for the raw total energy: -5.8859 eV/atom. As for the total magnetic moment: 0.002 μB per atom.

=====

Compound: Pr2Sn4PdPt
Source: OQMD via LeMat-Bulk
Functional: PBE
Structure: optimized geometry

extended XYZ file:
```
8
Lattice="4.531 0.000 0.000 0.000 4.568 0.000 -1.939 0.000 9.727" Properties=species:S:1:pos:R:3 pbc="T T T"
Sn 1.499 0.000 9.711
Sn 1.790 2.284 5.602
Sn 0.803 0.000 4.123
Sn 1.094 2.284 0.020
Pd 1.199 0.000 1.525
Pt 1.392 2.284 8.198
Pr -0.747 0.000 7.021
Pr 3.342 2.284 2.706
```

The space-group type is Pm. As for the raw total energy: -5.3651 eV/atom. As for the total magnetic moment: 0.000 μB per atom.

=====

Compound: Pr2TmSn3PdPt2
Source: OQMD via LeMat-Bulk
Functional: PBE
Structure: optimized geometry

extended XYZ file:
```
9
Lattice="4.098 0.000 0.000 0.000 6.572 3.823 0.000 -6.572 3.823" Properties=species:S:1:pos:R:3 pbc="T T T"
Pd 0.000 0.000 7.583
Pr 0.000 2.706 1.579
Pr 0.000 -2.706 1.579
Pt 2.049 -2.088 3.854
Pt 2.049 2.088 3.854
Sn 2.049 0.000 1.941
Sn 2.049 1.650 6.660
Sn 2.049 -1.650 6.660
Tm 0.000 0.000 4.517
```

The space-group type is Amm2. As for the raw total energy: -5.8218 eV/atom. As for the total magnetic moment: 0.000 μB per atom.

=====

Compound: PrTlPdPt
Source: OQMD via LeMat-Bulk
Functional: PBE
Structure: optimized geometry

extended XYZ file:
```
8
Lattice="-0.153 -3.832 2.771 1.583 -0.356 -4.444 8.553 1.760 2.905" Properties=species:S:1:pos:R:3 pbc="T T T"
Pr 5.281 -0.635 -0.587
Pr 0.000 0.000 0.000
Pd 2.922 0.601 0.993
Pd 5.630 1.159 1.912
Pt 2.376 -1.232 -1.573
Pt 8.185 -0.037 0.400
Tl 6.827 -1.356 2.540
Tl 2.577 -2.230 1.097
```

The space-group type is P-6m2. As for the raw total energy: -5.2654 eV/atom. As for the total magnetic moment: 0.000 μB per atom.

=====

Compound: Pr2Tl2PdPt3
Source: OQMD via LeMat-Bulk
Functional: PBE
Structure: optimized geometry

extended XYZ file:
```
8
Lattice="4.729 0.000 0.000 -2.364 4.095 0.000 0.000 0.000 9.249" Properties=species:S:1:pos:R:3 pbc="T T T"
Pt 2.364 1.365 5.518
Pt 0.000 2.730 3.717
Pt 2.364 1.365 8.423
Pd 0.000 2.730 0.823
Tl 0.000 0.000 4.620
Tl 0.000 0.000 0.002
Pr 0.000 2.730 6.920
Pr 2.364 1.365 2.347
```

The space-group type is P3m1. As for the raw total energy: -5.3941 eV/atom. As for the total magnetic moment: 0.000 μB per atom.

=====

Compound: PrPuSb4Pd2
Source: OQMD via LeMat-Bulk
Functional: PBE
Structure: optimized geometry

extended XYZ file:
```
8
Lattice="-3.404 2.724 0.718 -2.617 -2.640 -2.389 -2.315 -5.025 8.088" Properties=species:S:1:pos:R:3 pbc="T T T"
Pd -2.878 -1.190 4.467
Pd -2.484 -3.872 2.914
Sb -3.590 -6.274 6.779
Sb -3.984 -3.591 8.333
Sb -1.566 -3.399 5.471
Sb -3.802 -1.675 1.929
Pu -4.733 -3.698 5.185
Pr -0.579 -1.256 2.022
```

The space-group type is P4mm. As for the raw total energy: -6.2039 eV/atom. As for the total magnetic moment: 0.077 μB per atom.

=====

Compound: RbPrPd
Source: OQMD via LeMat-Bulk
Functional: PBE
Structure: optimized geometry

extended XYZ file:
```
3
Lattice="0.000 3.702 3.702 3.702 0.000 3.702 3.702 3.702 0.000" Properties=species:S:1:pos:R:3 pbc="T T T"
Pd 0.000 0.000 0.000
Pr 1.851 1.851 1.851
Rb 5.553 5.553 5.553
```

The space-group type is F-43m. As for the raw total energy: -3.4972 eV/atom. As for the total magnetic moment: 0.002 μB per atom.